VASP calculation (PBE-GGA) on crystalline SmGa2Se4 at its relaxed geometry.

Cell lengths 14.6372, 12.4250, 12.1489 Å; angles 73.11, 54.32, 52.58 degrees
Sites, in units of the cell vectors:
Ga (0.7600, 0.4885, 0.0164)
Ga (0.2658, 0.9837, 0.0809)
Ga (0.9842, 0.2663, 0.1691)
Ga (0.4900, 0.7615, 0.2336)
Ga (0.0809, 0.6696, 0.2658)
Ga (0.5804, 0.1691, 0.2663)
Ga (0.7351, 0.0164, 0.4885)
Ga (0.2336, 0.5149, 0.4900)
Ga (0.7615, 0.4900, 0.5149)
Ga (0.2663, 0.9842, 0.5804)
Ga (0.9837, 0.2658, 0.6696)
Ga (0.4885, 0.7600, 0.7351)
Ga (0.0164, 0.7351, 0.7600)
Ga (0.5149, 0.2336, 0.7615)
Ga (0.6696, 0.0809, 0.9837)
Ga (0.1691, 0.5804, 0.9842)
Se (0.2212, 0.2188, 0.0286)
Se (0.2214, 0.7185, 0.0288)
Se (0.7185, 0.2214, 0.0312)
Se (0.7176, 0.7144, 0.0322)
Se (0.5324, 0.5356, 0.2178)
Se (0.5315, 0.0286, 0.2188)
Se (0.0286, 0.5315, 0.2212)
Se (0.0288, 0.0312, 0.2214)
Se (0.7922, 0.9590, 0.2696)
Se (0.2910, 0.4578, 0.2708)
Se (0.2708, 0.9804, 0.2910)
Se (0.7629, 0.4884, 0.3067)
Se (0.4884, 0.7629, 0.4420)
Se (0.9804, 0.2708, 0.4578)
Se (0.9433, 0.8080, 0.4871)
Se (0.4420, 0.3067, 0.4884)
Se (0.2188, 0.2212, 0.5315)
Se (0.2178, 0.7142, 0.5324)
Se (0.7142, 0.2178, 0.5356)
Se (0.7144, 0.7176, 0.5358)
Se (0.5356, 0.5324, 0.7142)
Se (0.5358, 0.0322, 0.7144)
Se (0.0322, 0.5358, 0.7176)
Se (0.0312, 0.0288, 0.7185)
Se (0.8080, 0.9433, 0.7616)
Se (0.3067, 0.4420, 0.7629)
Se (0.2696, 0.9792, 0.7922)
Se (0.7616, 0.4871, 0.8080)
Se (0.4871, 0.7616, 0.9433)
Se (0.9792, 0.2696, 0.9590)
Se (0.9590, 0.7922, 0.9792)
Se (0.4578, 0.2910, 0.9804)
Sm (0.0000, 0.0000, 0.0000)
Sm (0.4978, 0.4978, 0.0022)
Sm (0.7522, 0.7522, 0.2478)
Sm (0.2500, 0.2500, 0.2500)
Sm (0.0022, 0.0022, 0.4978)
Sm (0.5000, 0.5000, 0.5000)
Sm (0.7500, 0.7500, 0.7500)
Sm (0.2478, 0.2478, 0.7522)

Results
As for the crystal system: orthorhombic. The uncorrected energy is -4.469 eV/atom. Its size of the total moment is 0.0 μB per cell. As for the symmetry: No. 70.

---

VASP calculation (PBE-GGA) on crystalline NbGa2Au at its relaxed geometry.

Cell lengths 4.6339, 4.6339, 4.6339 Å; angles 60.00, 60.00, 60.00 degrees
Sites, in units of the cell vectors:
Au (0.5000, 0.5000, 0.5000)
Ga (0.0000, 0.0000, 0.0000)
Ga (0.2500, 0.2500, 0.2500)
Nb (0.7500, 0.7500, 0.7500)

Results
As for the crystal system: cubic. The uncorrected energy is -4.715 eV/atom. Its size of the total moment is 1.7 μB per cell. As for the symmetry: No. 216.

---

VASP calculation (PBE-GGA) on crystalline ZrCo2Sn at its relaxed geometry.

Cell lengths 3.2360, 3.2360, 6.0578 Å; angles 90.00, 90.00, 90.00 degrees
Sites, in units of the cell vectors:
Co (0.5000, 0.5000, 0.2444)
Co (0.5000, 0.5000, 0.7556)
Sn (0.0000, 0.0000, 0.5000)
Zr (0.0000, 0.0000, 0.0000)

Results
As for the crystal system: tetragonal. The uncorrected energy is -6.872 eV/atom. Its size of the total moment is 1.5 μB per cell. As for the symmetry: No. 123.

---

VASP calculation (PBE-GGA) on crystalline AlCo2 at its relaxed geometry.

Cell lengths 8.7184, 8.7184, 4.6094 Å; angles 90.00, 90.00, 90.00 degrees
Sites, in units of the cell vectors:
Al (0.0000, 0.0000, 0.0000)
Al (0.4603, 0.1434, 0.0000)
Al (0.1434, 0.4603, 0.0000)
Al (0.8566, 0.5397, 0.0000)
Al (0.5397, 0.8566, 0.0000)
Al (0.6434, 0.0397, 0.5000)
Al (0.9603, 0.3566, 0.5000)
Al (0.5000, 0.5000, 0.5000)
Al (0.0397, 0.6434, 0.5000)
Al (0.3566, 0.9603, 0.5000)
Co (0.7375, 0.0685, 0.0000)
Co (0.9315, 0.2625, 0.0000)
Co (0.4070, 0.4070, 0.0000)
Co (0.5930, 0.5930, 0.0000)
Co (0.0685, 0.7375, 0.0000)
Co (0.2625, 0.9315, 0.0000)
Co (0.1820, 0.1820, 0.2497)
Co (0.8180, 0.8180, 0.2497)
Co (0.6820, 0.3180, 0.2503)
Co (0.3180, 0.6820, 0.2503)
Co (0.9070, 0.0930, 0.5000)
Co (0.4315, 0.2375, 0.5000)
Co (0.2375, 0.4315, 0.5000)
Co (0.7625, 0.5685, 0.5000)
Co (0.5685, 0.7625, 0.5000)
Co (0.0930, 0.9070, 0.5000)
Co (0.6820, 0.3180, 0.7497)
Co (0.3180, 0.6820, 0.7497)
Co (0.1820, 0.1820, 0.7503)
Co (0.8180, 0.8180, 0.7503)

Results
As for the crystal system: tetragonal. The uncorrected energy is -6.189 eV/atom. Its size of the total moment is 22.3 μB per cell. As for the symmetry: No. 136.

---

VASP calculation (PBE-GGA) on crystalline BaPrAuO3 at its relaxed geometry.

Cell lengths 7.1062, 7.1062, 8.8467 Å; angles 90.00, 90.00, 31.79 degrees
Sites, in units of the cell vectors:
Au (0.3860, 0.3860, 0.2500)
Au (0.6140, 0.6140, 0.7500)
Ba (0.6875, 0.6875, 0.2500)
Ba (0.3125, 0.3125, 0.7500)
O (0.3875, 0.3875, 0.0219)
O (0.0675, 0.0675, 0.2500)
O (0.3875, 0.3875, 0.4781)
O (0.6125, 0.6125, 0.5219)
O (0.9325, 0.9325, 0.7500)
O (0.6125, 0.6125, 0.9781)
Pr (0.0000, 0.0000, 0.0000)
Pr (0.0000, 0.0000, 0.5000)

Results
As for the crystal system: orthorhombic. The uncorrected energy is -6.366 eV/atom. Its size of the total moment is 0.0 μB per cell. As for the symmetry: No. 63.

---

VASP calculation (PBE-GGA) on crystalline Pr11In9Ni4 at its relaxed geometry.

Cell lengths 3.8067, 13.4674, 13.4674 Å; angles 112.57, 90.00, 90.00 degrees
Sites, in units of the cell vectors:
In (0.5000, 0.2202, 0.0808)
In (0.5000, 0.6322, 0.1626)
In (0.5000, 0.0808, 0.2202)
In (0.5000, 0.8374, 0.3678)
In (0.5000, 0.5000, 0.5000)
In (0.5000, 0.1626, 0.6322)
In (0.5000, 0.9192, 0.7798)
In (0.5000, 0.3678, 0.8374)
In (0.5000, 0.7798, 0.9192)
Ni (0.5000, 0.4483, 0.2461)
Ni (0.5000, 0.2461, 0.4483)
Ni (0.5000, 0.7539, 0.5517)
Ni (0.5000, 0.5517, 0.7539)
Pr (0.0000, 0.0000, 0.0000)
Pr (0.0000, 0.4163, 0.0774)
Pr (0.0000, 0.8377, 0.1623)
Pr (0.0000, 0.3129, 0.3129)
Pr (0.0000, 0.6255, 0.3745)
Pr (0.0000, 0.0774, 0.4163)
Pr (0.0000, 0.9226, 0.5837)
Pr (0.0000, 0.3745, 0.6255)
Pr (0.0000, 0.6871, 0.6871)
Pr (0.0000, 0.1623, 0.8377)
Pr (0.0000, 0.5837, 0.9226)

Results
As for the crystal system: orthorhombic. The uncorrected energy is -4.622 eV/atom. Its size of the total moment is 0.0 μB per cell. As for the symmetry: No. 65.